1.
# Hf2CdPd8, relaxed, DFT PBE-GGA
data_Hf2CdPd8
_chemical_formula_sum 'Hf4 Cd2 Pd16'
_cell_length_a 14.424
_cell_length_b 4.048
_cell_length_c 6.568
_cell_angle_alpha 90.00
_cell_angle_beta 106.80
_cell_angle_gamma 90.00
_symmetry_space_group_name_H-M 'C 1 2/m 1'
_symmetry_Int_Tables_number 12
_symmetry_space_group_name_Hall '-C 2y'
loop_
_atom_site_label
_atom_site_type_symbol
_atom_site_fract_x
_atom_site_fract_y
_atom_site_fract_z
_atom_site_occupancy
Hf1 Hf 0.219 0.000 0.167 1
Cd1 Cd 0.000 0.500 0.500 1
Pd1 Pd 0.042 0.000 0.222 1
Pd2 Pd 0.098 0.500 0.959 1
Pd3 Pd 0.147 0.000 0.705 1
Pd4 Pd 0.178 0.500 0.411 1
# N(E_F) = 0.383 states/eV per atom

2.
# HfCd2Pd2, relaxed, DFT PBE-GGA
data_HfCd2Pd2
_chemical_formula_sum 'Hf2 Cd4 Pd4'
_cell_length_a 7.050
_cell_length_b 7.050
_cell_length_c 3.871
_cell_angle_alpha 90.00
_cell_angle_beta 90.00
_cell_angle_gamma 90.00
_symmetry_space_group_name_H-M 'P 4/m b m'
_symmetry_Int_Tables_number 127
_symmetry_space_group_name_Hall '-P 4 2ab'
loop_
_atom_site_label
_atom_site_type_symbol
_atom_site_fract_x
_atom_site_fract_y
_atom_site_fract_z
_atom_site_occupancy
Hf1 Hf 0.000 0.000 0.000 1
Cd1 Cd 0.161 0.339 0.500 1
Pd1 Pd 0.140 0.640 0.000 1
# N(E_F) = 0.418 states/eV per atom

3.
# HfCdPd2, relaxed, DFT PBE-GGA
data_HfCdPd2
_chemical_formula_sum 'Hf2 Cd2 Pd4'
_cell_length_a 2.889
_cell_length_b 5.137
_cell_length_c 10.614
_cell_angle_alpha 90.00
_cell_angle_beta 90.00
_cell_angle_gamma 90.00
_symmetry_space_group_name_H-M 'I m m m'
_symmetry_Int_Tables_number 71
_symmetry_space_group_name_Hall '-I 2 2'
loop_
_atom_site_label
_atom_site_type_symbol
_atom_site_fract_x
_atom_site_fract_y
_atom_site_fract_z
_atom_site_occupancy
Hf1 Hf 0.000 0.000 0.000 1
Cd1 Cd 0.000 0.000 0.500 1
Pd1 Pd 0.000 0.000 0.238 1
# N(E_F) = 0.503 states/eV per atom

no.,E_form (eV per atom)
1,-0.601
2,-0.313
3,0.061